No. 1
First-principles (GGA-PBE) data for VRh3W after structural relaxation, as listed in the Alexandria database.

Properties
Offset from the most stable computed form (meV/atom): 0
ΔH_f (0 K) (meV per atom): 40
Fermi-level density of states (states/eV/cell): 5.4

Cell: 4.179 5.323 6.933 Å, 90.00 90.00 90.00°
Fractional positions:
1 V 0.750 0.750 0.445
2 V 0.250 0.250 0.555
3 Rh 0.750 0.750 0.076
4 Rh 0.250 0.250 0.924
5 Rh 0.750 0.010 0.734
6 Rh 0.750 0.490 0.734
7 Rh 0.250 0.990 0.266
8 Rh 0.250 0.510 0.266
9 W 0.750 0.250 0.161
10 W 0.250 0.750 0.839

No. 2
First-principles (GGA-PBE) data for VRh9W2 after structural relaxation, as listed in the Alexandria database.

Properties
ΔH_f (0 K) (meV per atom): -283
Fermi-level density of states (states/eV/cell): 6.7

Cell: 3.852 3.852 11.544 Å, 90.00 90.00 90.00°
Fractional positions:
1 V 0.000 0.000 0.000
2 Rh 0.500 0.500 0.000
3 Rh 0.500 0.500 0.333
4 Rh 0.500 0.500 0.667
5 Rh 0.500 0.000 0.165
6 Rh 0.500 0.000 0.500
7 Rh 0.500 0.000 0.835
8 Rh 0.000 0.500 0.165
9 Rh 0.000 0.500 0.500
10 Rh 0.000 0.500 0.835
11 W 0.000 0.000 0.330
12 W 0.000 0.000 0.670

No. 3
First-principles (GGA-PBE) data for V5RhW4 after structural relaxation, as listed in the Alexandria database.

Properties
ΔH_f (0 K) (meV per atom): -132
Fermi-level density of states (states/eV/cell): 7.4

Cell: 3.079 3.079 15.342 Å, 90.00 90.00 90.00°
Fractional positions:
1 V 0.500 0.500 0.101
2 V 0.500 0.500 0.298
3 V 0.500 0.500 0.500
4 V 0.500 0.500 0.702
5 V 0.500 0.500 0.899
6 Rh 0.000 0.000 0.000
7 W 0.000 0.000 0.198
8 W 0.000 0.000 0.400
9 W 0.000 0.000 0.600
10 W 0.000 0.000 0.802

No. 4
First-principles (GGA-PBE) data for V7Rh2W2 after structural relaxation, as listed in the Alexandria database.

Properties
ΔH_f (0 K) (meV per atom): 48
Fermi-level density of states (states/eV/cell): 11.0

Cell: 4.754 8.173 5.139 Å, 61.33 91.65 68.86°
Fractional positions:
1 V 0.824 0.935 0.458
2 V 0.165 0.581 0.521
3 V 0.176 0.065 0.542
4 V 0.835 0.419 0.479
5 V 0.642 0.806 0.000
6 V 0.000 0.000 0.000
7 V 0.358 0.194 0.000
8 Rh 0.508 0.234 0.512
9 Rh 0.492 0.766 0.488
10 W 0.792 0.396 0.001
11 W 0.208 0.604 0.999

No. 5
First-principles (GGA-PBE) data for V6Rh5W after structural relaxation, as listed in the Alexandria database.

Properties
ΔH_f (0 K) (meV per atom): -259
Fermi-level density of states (states/eV/cell): 12.1

Cell: 4.456 5.761 6.726 Å, 90.00 103.91 90.00°
Fractional positions:
1 Rh 0.601 0.500 0.317
2 Rh 0.395 0.000 0.677
3 Rh 0.000 0.500 0.000
4 Rh 0.605 0.000 0.323
5 Rh 0.399 0.500 0.683
6 W 0.000 0.000 0.000
7 V 0.884 0.751 0.648
8 V 0.884 0.249 0.648
9 V 0.500 0.247 0.000
10 V 0.500 0.753 0.000
11 V 0.116 0.751 0.352
12 V 0.116 0.249 0.352

No. 6
First-principles (GGA-PBE) data for VRh3W after structural relaxation, as listed in the Alexandria database.

Properties
Offset from the most stable computed form (meV/atom): 203
ΔH_f (0 K) (meV per atom): 242
Fermi-level density of states (states/eV/cell): 8.8

Cell: 4.848 5.172 6.932 Å, 111.91 90.00 90.00°
Fractional positions:
1 V 0.750 0.472 0.943
2 V 0.250 0.528 0.057
3 Rh 0.750 0.904 0.311
4 Rh 0.750 0.407 0.311
5 Rh 0.250 0.593 0.689
6 Rh 0.250 0.096 0.689
7 Rh 0.000 0.000 0.000
8 Rh 0.500 0.000 0.000
9 W 0.750 0.819 0.637
10 W 0.250 0.181 0.363

No. 7
First-principles (GGA-PBE) data for V3Rh6W after structural relaxation, as listed in the Alexandria database.

Properties
ΔH_f (0 K) (meV per atom): -317
Fermi-level density of states (states/eV/cell): 19.5

Cell: 4.362 7.248 9.824 Å, 114.92 90.00 90.00°
Site moments in Bohr magnetons follow the coordinates.
Fractional positions:
1 V 0.250 0.558 0.365  0.43
2 V 0.750 0.442 0.635  0.43
3 V 0.250 0.352 0.767  0.37
4 V 0.750 0.648 0.233  0.37
5 V 0.250 0.766 0.966  0.05
6 V 0.750 0.234 0.034  0.05
7 Rh 0.250 0.463 0.072  -0.01
8 Rh 0.750 0.537 0.928  -0.01
9 Rh 0.250 0.166 0.169  -0.03
10 Rh 0.750 0.834 0.831  -0.03
11 Rh 0.250 0.662 0.674  -0.02
12 Rh 0.750 0.338 0.326  -0.02
13 Rh 0.250 0.270 0.472  -0.02
14 Rh 0.750 0.730 0.528  -0.02
15 Rh 0.250 0.859 0.266  -0.02
16 Rh 0.750 0.141 0.734  -0.02
17 Rh 0.250 0.068 0.872  -0.01
18 Rh 0.750 0.932 0.128  -0.01
19 W 0.250 0.966 0.569  -0.02
20 W 0.750 0.034 0.431  -0.02

No. 8
First-principles (GGA-PBE) data for VRh6W2 after structural relaxation, as listed in the Alexandria database.

Properties
ΔH_f (0 K) (meV per atom): -3
Fermi-level density of states (states/eV/cell): 9.9

Cell: 2.730 13.396 7.772 Å, 149.52 100.11 90.00°
Fractional positions:
1 V 0.000 0.500 0.000
2 Rh 0.323 0.492 0.647
3 Rh 0.677 0.508 0.353
4 Rh 0.677 0.845 0.353
5 Rh 0.500 0.145 0.000
6 Rh 0.500 0.855 0.000
7 Rh 0.323 0.155 0.647
8 W 0.181 0.181 0.362
9 W 0.819 0.819 0.638

No. 9
First-principles (GGA-PBE) data for V2Rh9W after structural relaxation, as listed in the Alexandria database.

Properties
ΔH_f (0 K) (meV per atom): -334
Fermi-level density of states (states/eV/cell): 7.3

Cell: 3.833 3.833 11.485 Å, 90.00 90.00 90.00°
Fractional positions:
1 V 0.000 0.000 0.337
2 V 0.000 0.000 0.663
3 Rh 0.500 0.500 0.000
4 Rh 0.500 0.500 0.334
5 Rh 0.500 0.500 0.666
6 Rh 0.500 0.000 0.168
7 Rh 0.500 0.000 0.500
8 Rh 0.500 0.000 0.832
9 Rh 0.000 0.500 0.168
10 Rh 0.000 0.500 0.500
11 Rh 0.000 0.500 0.832
12 W 0.000 0.000 0.000

No. 10
First-principles (GGA-PBE) data for YVRh2 after structural relaxation, as listed in the Alexandria database.

Properties
Offset from the most stable computed form (meV/atom): 0
ΔH_f (0 K) (meV per atom): -462
Fermi-level density of states (states/eV/cell): 3.9

Cell: 3.066 3.066 7.196 Å, 90.00 90.00 90.00°
Fractional positions:
1 Y 0.500 0.500 0.500
2 Rh 0.000 0.000 0.800
3 Rh 0.000 0.000 0.200
4 V 0.500 0.500 0.000

No. 11
First-principles (GGA-PBE) data for YVRh2 after structural relaxation, as listed in the Alexandria database.

Properties
Offset from the most stable computed form (meV/atom): 269
ΔH_f (0 K) (meV per atom): -194
Fermi-level density of states (states/eV/cell): 8.5

Cell: 7.128 7.128 5.821 Å, 52.25 52.25 90.00°
Site moments in Bohr magnetons follow the coordinates.
Fractional positions:
1 Y 0.000 0.000 0.000  0.02
2 Y 0.750 0.250 0.500  0.02
3 Rh 0.569 0.125 0.250  -0.01
4 Rh 0.181 0.625 0.250  -0.01
5 Rh 0.375 0.431 0.750  -0.01
6 Rh 0.875 0.819 0.750  -0.01
7 V 0.500 0.500 0.000  0.21
8 V 0.250 0.750 0.500  0.21

No. 12
First-principles (GGA-PBE) data for YV3Rh after structural relaxation, as listed in the Alexandria database.

Properties
Offset from the most stable computed form (meV/atom): 1437
ΔH_f (0 K) (meV per atom): 2055
Fermi-level density of states (states/eV/cell): 6.4

Cell: 4.549 4.549 4.549 Å, 90.00 90.00 90.00°
Site moments in Bohr magnetons follow the coordinates.
Fractional positions:
1 Y 0.000 0.000 0.000  0.07
2 Rh 0.500 0.500 0.500  0.03
3 V 0.000 0.500 0.000  1.23
4 V 0.000 0.000 0.500  1.23
5 V 0.500 0.000 0.000  1.23